# CaSm2In2Hg2 (GGA-PBE, relaxed)
# Formation energy from the elements in eV/atom: -0.3274
# ρ in g cm⁻³: 8.073
# SG: R-3m (166)
data_CaSm2In2Hg2
_chemical_formula_sum 'Ca1 Sm2 In2 Hg2'
_symmetry_space_group_name_H-M 'P 1'
_symmetry_Int_Tables_number 1
_symmetry_space_group_name_Hall 'P 1'
_cell_length_a 4.941
_cell_length_b 4.941
_cell_length_c 9.873
_cell_angle_alpha 75.51
_cell_angle_beta 75.51
_cell_angle_gamma 60.00
loop_
_atom_site_label
_atom_site_type_symbol
_atom_site_fract_x
_atom_site_fract_y
_atom_site_fract_z
In1 In 0.255 0.255 0.234
Hg1 Hg 0.401 0.401 0.798
Sm1 Sm 0.128 0.128 0.616
Hg2 Hg 0.599 0.599 0.202
In2 In 0.745 0.745 0.766
Ca1 Ca 0.000 0.000 0.000
Sm2 Sm 0.872 0.872 0.384

---

# Ca2SmIn2Hg2 (GGA-PBE, relaxed)
# Formation energy from the elements in eV/atom: -0.3847
# ρ in g cm⁻³: 7.096
# SG: R-3m (166)
data_Ca2SmIn2Hg2
_chemical_formula_sum 'Ca2 Sm1 In2 Hg2'
_symmetry_space_group_name_H-M 'P 1'
_symmetry_Int_Tables_number 1
_symmetry_space_group_name_Hall 'P 1'
_cell_length_a 4.968
_cell_length_b 4.968
_cell_length_c 9.854
_cell_angle_alpha 75.40
_cell_angle_beta 75.40
_cell_angle_gamma 60.00
loop_
_atom_site_label
_atom_site_type_symbol
_atom_site_fract_x
_atom_site_fract_y
_atom_site_fract_z
Ca1 Ca 0.127 0.127 0.619
Ca2 Ca 0.873 0.873 0.381
Hg1 Hg 0.611 0.611 0.168
Hg2 Hg 0.389 0.389 0.832
In1 In 0.258 0.258 0.227
In2 In 0.742 0.742 0.773
Sm1 Sm 0.000 0.000 0.000

---

# Ca3In2Sn2Hg4 (GGA-PBE, relaxed)
# Formation energy from the elements in eV/atom: -0.3638
# ρ in g cm⁻³: 7.599
# SG: P-3m1 (164)
data_Ca3In2Sn2Hg4
_chemical_formula_sum 'Ca3 In2 Sn2 Hg4'
_symmetry_space_group_name_H-M 'P 1'
_symmetry_Int_Tables_number 1
_symmetry_space_group_name_Hall 'P 1'
_cell_length_a 4.995
_cell_length_b 4.995
_cell_length_c 14.052
_cell_angle_alpha 90.00
_cell_angle_beta 90.00
_cell_angle_gamma 120.00
loop_
_atom_site_label
_atom_site_type_symbol
_atom_site_fract_x
_atom_site_fract_y
_atom_site_fract_z
Hg1 Hg 0.333 0.667 0.371
Hg2 Hg 0.667 0.333 0.106
In1 In 0.667 0.333 0.417
Sn1 Sn 0.333 0.667 0.145
Ca1 Ca 0.000 0.000 0.724
Ca2 Ca 0.000 0.000 0.276
In2 In 0.333 0.667 0.583
Ca3 Ca 0.000 0.000 0.000
Hg3 Hg 0.667 0.333 0.629
Sn2 Sn 0.667 0.333 0.855
Hg4 Hg 0.333 0.667 0.894

---

# Ca2InSn2Hg4 (GGA-PBE, relaxed)
# Formation energy from the elements in eV/atom: -0.2376
# ρ in g cm⁻³: 8.073
# SG: I4/mmm (139)
data_Ca2InSn2Hg4
_chemical_formula_sum 'Ca2 In1 Sn2 Hg4'
_symmetry_space_group_name_H-M 'P 1'
_symmetry_Int_Tables_number 1
_symmetry_space_group_name_Hall 'P 1'
_cell_length_a 7.081
_cell_length_b 7.081
_cell_length_c 7.081
_cell_angle_alpha 91.39
_cell_angle_beta 119.20
_cell_angle_gamma 119.20
loop_
_atom_site_label
_atom_site_type_symbol
_atom_site_fract_x
_atom_site_fract_y
_atom_site_fract_z
Hg1 Hg 0.000 0.722 0.278
Ca1 Ca 0.500 0.750 0.250
Hg2 Hg 0.557 0.278 0.278
Sn1 Sn 0.000 0.703 0.703
Sn2 Sn 0.000 0.297 0.297
Ca2 Ca 0.500 0.250 0.750
Hg3 Hg 0.000 0.278 0.722
Hg4 Hg 0.443 0.722 0.722
In1 In 0.000 0.000 0.000

---

# CaInSnHg (GGA-PBE, relaxed)
# Formation energy from the elements in eV/atom: -0.3592
# ΔE to the lowest computed polymorph in eV per atom: 0.0000
# ρ in g cm⁻³: 7.561
# SG: Pmmm (47)
data_CaInSnHg
_chemical_formula_sum 'Ca1 In1 Sn1 Hg1'
_symmetry_space_group_name_H-M 'P 1'
_symmetry_Int_Tables_number 1
_symmetry_space_group_name_Hall 'P 1'
_cell_length_a 4.496
_cell_length_b 4.871
_cell_length_c 4.756
_cell_angle_alpha 90.00
_cell_angle_beta 90.00
_cell_angle_gamma 90.00
loop_
_atom_site_label
_atom_site_type_symbol
_atom_site_fract_x
_atom_site_fract_y
_atom_site_fract_z
In1 In 0.000 0.000 0.000
Hg1 Hg 0.500 0.000 0.500
Ca1 Ca 0.000 0.500 0.500
Sn1 Sn 0.500 0.500 0.000

---

# CaInSnHg2 (GGA-PBE, relaxed)
# Formation energy from the elements in eV/atom: -0.1801
# ρ in g cm⁻³: 7.759
# SG: Cmcm (63)
data_CaInSnHg2
_chemical_formula_sum 'Ca2 In2 Sn2 Hg4'
_symmetry_space_group_name_H-M 'P 1'
_symmetry_Int_Tables_number 1
_symmetry_space_group_name_Hall 'P 1'
_cell_length_a 3.666
_cell_length_b 10.346
_cell_length_c 7.736
_cell_angle_alpha 90.00
_cell_angle_beta 90.00
_cell_angle_gamma 100.21
loop_
_atom_site_label
_atom_site_type_symbol
_atom_site_fract_x
_atom_site_fract_y
_atom_site_fract_z
Sn1 Sn 0.593 0.185 0.250
In1 In 0.000 0.000 0.500
Hg1 Hg 0.148 0.297 0.556
Ca1 Ca 0.753 0.506 0.750
Sn2 Sn 0.407 0.815 0.750
Hg2 Hg 0.852 0.703 0.444
In2 In 0.000 0.000 0.000
Hg3 Hg 0.148 0.297 0.944
Hg4 Hg 0.852 0.703 0.056
Ca2 Ca 0.247 0.494 0.250

---

# CaInSnHg4 (GGA-PBE, relaxed)
# Formation energy from the elements in eV/atom: -0.0617
# ρ in g cm⁻³: 8.806
# SG: Cmcm (63)
data_CaInSnHg4
_chemical_formula_sum 'Ca2 In2 Sn2 Hg8'
_symmetry_space_group_name_H-M 'P 1'
_symmetry_Int_Tables_number 1
_symmetry_space_group_name_Hall 'P 1'
_cell_length_a 6.273
_cell_length_b 6.562
_cell_length_c 10.346
_cell_angle_alpha 90.00
_cell_angle_beta 107.65
_cell_angle_gamma 90.00
loop_
_atom_site_label
_atom_site_type_symbol
_atom_site_fract_x
_atom_site_fract_y
_atom_site_fract_z
Hg1 Hg 0.000 0.500 0.500
Hg2 Hg 0.493 0.750 0.985
Sn1 Sn 0.361 0.250 0.723
Hg3 Hg 0.929 0.250 0.859
Sn2 Sn 0.639 0.750 0.277
Hg4 Hg 0.507 0.250 0.015
Ca1 Ca 0.895 0.750 0.791
Hg5 Hg 0.500 0.500 0.500
Hg6 Hg 0.000 0.000 0.500
Ca2 Ca 0.105 0.250 0.209
Hg7 Hg 0.500 0.000 0.500
In1 In 0.349 0.750 0.698
Hg8 Hg 0.071 0.750 0.141
In2 In 0.651 0.250 0.302

---

# Ca2InSnHg4 (GGA-PBE, relaxed)
# Formation energy from the elements in eV/atom: -0.3855
# ρ in g cm⁻³: 9.098
# SG: R-3m (166)
data_Ca2InSnHg4
_chemical_formula_sum 'Ca2 In1 Sn1 Hg4'
_symmetry_space_group_name_H-M 'P 1'
_symmetry_Int_Tables_number 1
_symmetry_space_group_name_Hall 'P 1'
_cell_length_a 5.252
_cell_length_b 5.252
_cell_length_c 9.051
_cell_angle_alpha 73.14
_cell_angle_beta 73.14
_cell_angle_gamma 60.00
loop_
_atom_site_label
_atom_site_type_symbol
_atom_site_fract_x
_atom_site_fract_y
_atom_site_fract_z
Sn1 Sn 0.500 0.500 0.500
Hg1 Hg 0.877 0.877 0.370
Hg2 Hg 0.374 0.374 0.879
Ca1 Ca 0.751 0.751 0.748
Hg3 Hg 0.123 0.123 0.630
In1 In 0.000 0.000 0.000
Ca2 Ca 0.249 0.249 0.252
Hg4 Hg 0.626 0.626 0.121

---

# CaInSnHg (GGA-PBE, relaxed)
# Formation energy from the elements in eV/atom: -0.2928
# ΔE to the lowest computed polymorph in eV per atom: 0.0663
# ρ in g cm⁻³: 7.246
# SG: F-43m (216)
data_CaInSnHg
_chemical_formula_sum 'Ca1 In1 Sn1 Hg1'
_symmetry_space_group_name_H-M 'P 1'
_symmetry_Int_Tables_number 1
_symmetry_space_group_name_Hall 'P 1'
_cell_length_a 5.356
_cell_length_b 5.356
_cell_length_c 5.356
_cell_angle_alpha 60.00
_cell_angle_beta 60.00
_cell_angle_gamma 60.00
loop_
_atom_site_label
_atom_site_type_symbol
_atom_site_fract_x
_atom_site_fract_y
_atom_site_fract_z
Hg1 Hg 0.750 0.750 0.750
In1 In 0.000 0.000 0.000
Sn1 Sn 0.250 0.250 0.250
Ca1 Ca 0.500 0.500 0.500

---

# CaIn2SnHg (GGA-PBE, relaxed)
# Formation energy from the elements in eV/atom: -0.2107
# ρ in g cm⁻³: 6.993
# SG: Cmcm (63)
data_CaIn2SnHg
_chemical_formula_sum 'Ca2 In4 Sn2 Hg2'
_symmetry_space_group_name_H-M 'P 1'
_symmetry_Int_Tables_number 1
_symmetry_space_group_name_Hall 'P 1'
_cell_length_a 4.604
_cell_length_b 6.189
_cell_length_c 10.578
_cell_angle_alpha 90.00
_cell_angle_beta 90.00
_cell_angle_gamma 111.84
loop_
_atom_site_label
_atom_site_type_symbol
_atom_site_fract_x
_atom_site_fract_y
_atom_site_fract_z
In1 In 0.766 0.533 0.591
In2 In 0.234 0.467 0.409
Sn1 Sn 0.627 0.253 0.250
In3 In 0.766 0.533 0.909
Ca1 Ca 0.080 0.160 0.750
Sn2 Sn 0.373 0.747 0.750
Ca2 Ca 0.920 0.840 0.250
Hg1 Hg 0.500 0.000 0.500
Hg2 Hg 0.500 0.000 0.000
In4 In 0.234 0.467 0.091

---

# CaIn2Sn2Hg (GGA-PBE, relaxed)
# Formation energy from the elements in eV/atom: -0.2215
# ρ in g cm⁻³: 7.338
# SG: Pnnm (58)
data_CaIn2Sn2Hg
_chemical_formula_sum 'Ca2 In4 Sn4 Hg2'
_symmetry_space_group_name_H-M 'P 1'
_symmetry_Int_Tables_number 1
_symmetry_space_group_name_Hall 'P 1'
_cell_length_a 5.331
_cell_length_b 9.264
_cell_length_c 6.485
_cell_angle_alpha 90.00
_cell_angle_beta 90.00
_cell_angle_gamma 90.00
loop_
_atom_site_label
_atom_site_type_symbol
_atom_site_fract_x
_atom_site_fract_y
_atom_site_fract_z
Sn1 Sn 0.000 0.669 0.755
Sn2 Sn 0.000 0.331 0.245
Sn3 Sn 0.500 0.831 0.255
In1 In 0.000 0.333 0.736
Sn4 Sn 0.500 0.169 0.745
In2 In 0.000 0.667 0.264
Hg1 Hg 0.500 0.500 0.500
In3 In 0.500 0.833 0.764
Hg2 Hg 0.000 0.000 0.000
Ca1 Ca 0.000 0.000 0.500
Ca2 Ca 0.500 0.500 0.000
In4 In 0.500 0.167 0.236

---

# SrCaInHg4 (GGA-PBE, relaxed)
# Formation energy from the elements in eV/atom: -0.2920
# ρ in g cm⁻³: 8.178
# SG: Cmcm (63)
data_SrCaInHg4
_chemical_formula_sum 'Sr2 Ca2 In2 Hg8'
_symmetry_space_group_name_H-M 'P 1'
_symmetry_Int_Tables_number 1
_symmetry_space_group_name_Hall 'P 1'
_cell_length_a 6.371
_cell_length_b 6.460
_cell_length_c 10.791
_cell_angle_alpha 90.00
_cell_angle_beta 107.17
_cell_angle_gamma 90.00
loop_
_atom_site_label
_atom_site_type_symbol
_atom_site_fract_x
_atom_site_fract_y
_atom_site_fract_z
Hg1 Hg 0.981 0.250 0.962
Hg2 Hg 0.000 0.500 0.500
In1 In 0.161 0.750 0.322
Sr1 Sr 0.392 0.250 0.784
Ca1 Ca 0.872 0.750 0.743
Hg3 Hg 0.000 0.000 0.500
Hg4 Hg 0.500 0.000 0.500
Hg5 Hg 0.019 0.750 0.038
In2 In 0.839 0.250 0.678
Hg6 Hg 0.500 0.500 0.500
Sr2 Sr 0.608 0.750 0.216
Hg7 Hg 0.442 0.750 0.884
Ca2 Ca 0.128 0.250 0.257
Hg8 Hg 0.558 0.250 0.116

---

> Look up the ρ of the ninth one.

7.246 g cm⁻³

---

> Which value of ρ does entry 10 give?

6.993 g cm⁻³

---

> Which value of ρ does entry 4 give?

8.073 g cm⁻³

---

> ρ of number 2 (Ca2SmIn2Hg2)?

7.096 g cm⁻³